Record 1
This record from Alexandria via LeMat-Bulk describes RbTa2C at its PBEsol-relaxed geometry. The functional is meta-GGA SCAN.

Cell lengths 6.2455, 6.2455, 6.2455 Å; angles 90.00, 90.00, 90.00 degrees
With the nearest neighbours (Å) after each atom.
Sites, in units of the cell vectors:
Rb  0.0000  0.0000  0.0000  8 Ta 2.70
Rb  0.0000  0.5000  0.5000  8 Ta 2.70
Rb  0.5000  0.0000  0.5000  8 Ta 2.70
Rb  0.5000  0.5000  0.0000  8 Ta 2.70
Ta  0.2500  0.2500  0.2500  4 C 2.70, 4 Rb 2.70
Ta  0.2500  0.2500  0.7500  4 Rb 2.70, 4 C 2.70
Ta  0.2500  0.7500  0.2500  4 Rb 2.70, 4 C 2.70
Ta  0.2500  0.7500  0.7500  4 Rb 2.70, 4 C 2.70
Ta  0.7500  0.2500  0.2500  4 Rb 2.70, 4 C 2.70
Ta  0.7500  0.2500  0.7500  4 Rb 2.70, 4 C 2.70
Ta  0.7500  0.7500  0.2500  4 Rb 2.70, 4 C 2.70
Ta  0.7500  0.7500  0.7500  4 Rb 2.70, 4 C 2.70
C  0.0000  0.0000  0.5000  8 Ta 2.70
C  0.0000  0.5000  0.0000  8 Ta 2.70
C  0.5000  0.0000  0.0000  8 Ta 2.70
C  0.5000  0.5000  0.5000  8 Ta 2.70

Properties
DFT formation energy	2799	meV/atom



Record 2
This record from Alexandria via LeMat-Bulk describes La2NiPt at its PBEsol-relaxed geometry. The functional is meta-GGA SCAN.

Cell lengths 4.1235, 4.1235, 5.8278 Å; angles 90.00, 90.00, 90.00 degrees
With the nearest neighbours (Å) after each atom.
Sites, in units of the cell vectors:
La  0.0000  0.0000  0.0000  2 Ni 2.91, 4 Pt 2.92
La  0.5000  0.5000  0.5000  2 Pt 2.91, 4 Ni 2.92
Ni  0.0000  0.0000  0.5000  6 La 2.91-2.92
Pt  0.5000  0.5000  0.0000  6 La 2.91-2.92

Properties
DFT formation energy	-739	meV/atom



Record 3
This record from Alexandria via LeMat-Bulk describes TeP2Pt at its PBEsol-relaxed geometry. The functional is meta-GGA SCAN.

Cell lengths 4.5031, 3.6793, 4.6881 Å; angles 90.00, 107.14, 90.00 degrees
With the nearest neighbours (Å) after each atom.
Sites, in units of the cell vectors:
Te  0.0000  0.0000  0.0000  2 Pt 2.73, 4 P 2.83
P  0.2374  0.5000  0.6640  1 P 2.24, 2 Pt 2.43
P  0.7626  0.5000  0.3360  1 P 2.24, 2 Pt 2.43
Pt  0.5000  0.0000  0.5000  4 P 2.43

Properties
formation energy without anion corrections	-0.20	eV per atom



Record 4
This record from Alexandria via LeMat-Bulk describes Ho3Ir at its PBEsol-relaxed geometry. The functional is meta-GGA SCAN.

Cell lengths 7.0932, 9.0723, 6.2338 Å; angles 90.00, 90.00, 90.00 degrees
With the nearest neighbours (Å) after each atom.
Sites, in units of the cell vectors:
Ho  0.0332  0.2500  0.1291  2 Ir 2.72-2.81
Ho  0.1776  0.0615  0.6725  2 Ir 2.81-2.85
Ho  0.1776  0.4385  0.6725  2 Ir 2.81-2.85
Ho  0.3224  0.5615  0.1725  2 Ir 2.81-2.85
Ho  0.3224  0.9385  0.1725  2 Ir 2.81-2.85
Ho  0.4668  0.7500  0.6291  2 Ir 2.72-2.81
Ho  0.5332  0.2500  0.3709  2 Ir 2.72-2.81
Ho  0.6776  0.0615  0.8275  2 Ir 2.81-2.85
Ho  0.6776  0.4385  0.8275  2 Ir 2.81-2.85
Ho  0.8224  0.5615  0.3275  2 Ir 2.81-2.85
Ho  0.8224  0.9385  0.3275  2 Ir 2.81-2.85
Ho  0.9668  0.7500  0.8709  2 Ir 2.72-2.81
Ir  0.1163  0.7500  0.4529  6 Ho 2.72-2.85
Ir  0.3837  0.2500  0.9529  6 Ho 2.72-2.85
Ir  0.6163  0.7500  0.0471  6 Ho 2.72-2.85
Ir  0.8837  0.2500  0.5471  6 Ho 2.72-2.85

Properties
DFT formation energy	-742	meV/atom



Record 5
This record from Alexandria via LeMat-Bulk describes RbCr2CoC at its PBEsol-relaxed geometry. The functional is meta-GGA SCAN.

Cell lengths 4.3659, 4.3659, 6.3361 Å; angles 90.00, 90.00, 90.00 degrees
With the nearest neighbours (Å) after each atom.
Sites, in units of the cell vectors:
Rb  0.0000  0.0000  0.0000  4 C 3.09, 2 Co 3.17
Cr  0.0000  0.5000  0.5000  2 Co 2.18
Cr  0.5000  0.0000  0.5000  2 Co 2.18
Co  0.0000  0.0000  0.5000  4 Cr 2.18
C  0.5000  0.5000  0.0000  4 Rb 3.09

Properties
DFT formation energy	2126	meV/atom



Record 6
This record from Alexandria via LeMat-Bulk describes BeCr3Tc at its PBEsol-relaxed geometry. The functional is meta-GGA SCAN.

Cell lengths 4.4674, 4.4674, 4.4674 Å; angles 90.00, 90.00, 90.00 degrees
With the nearest neighbours (Å) after each atom.
Sites, in units of the cell vectors:
Be  0.0000  0.0000  0.0000  12 Cr 3.16
Cr  0.0000  0.5000  0.5000  2 Tc 2.23
Cr  0.5000  0.0000  0.5000  2 Tc 2.23
Cr  0.5000  0.5000  0.0000  2 Tc 2.23
Tc  0.5000  0.5000  0.5000  6 Cr 2.23

Properties
DFT formation energy	1436	meV/atom



Record 7
This record from Alexandria via LeMat-Bulk describes CrNi3Hg at its PBEsol-relaxed geometry. The functional is meta-GGA SCAN.

Cell lengths 4.2209, 4.2209, 4.2209 Å; angles 90.00, 90.00, 90.00 degrees
With the nearest neighbours (Å) after each atom.
Sites, in units of the cell vectors:
Cr  0.0000  0.0000  0.0000  6 Ni 2.11
Ni  0.0000  0.0000  0.5000  2 Cr 2.11
Ni  0.0000  0.5000  0.0000  2 Cr 2.11
Ni  0.5000  0.0000  0.0000  2 Cr 2.11
Hg  0.5000  0.5000  0.5000  12 Ni 2.98

Properties
DFT formation energy	1180	meV/atom



Record 8
This record from Alexandria via LeMat-Bulk describes LaAlRe at its PBEsol-relaxed geometry. The functional is meta-GGA SCAN.

Cell lengths 4.3777, 4.3777, 3.9520 Å; angles 90.00, 90.00, 120.00 degrees
With the nearest neighbours (Å) after each atom.
Sites, in units of the cell vectors:
La  0.0000  0.0000  0.0000  6 Al 3.21, 6 Re 3.21
Al  0.3333  0.6667  0.5000  3 Re 2.53
Re  0.6667  0.3333  0.5000  3 Al 2.53

Properties
excess energy over the best structure of this formula in the dataset	0.000	eV per formula unit
DFT formation energy	143	meV/atom



Record 9
This record from Alexandria via LeMat-Bulk describes MnNi2Cl at its PBEsol-relaxed geometry. The functional is meta-GGA SCAN.

Cell lengths 4.9705, 7.1614, 2.8112 Å; angles 90.00, 90.00, 90.00 degrees
With the nearest neighbours (Å) after each atom.
Sites, in units of the cell vectors:
Mn  0.0000  0.0000  0.0000  2 Cl 2.49, 8 Ni 2.59
Mn  0.5000  0.5000  0.0000  2 Cl 2.49, 8 Ni 2.59
Ni  0.2500  0.2500  0.5000  2 Ni 2.49, 4 Cl 2.59, 4 Mn 2.59
Ni  0.2500  0.7500  0.5000  2 Ni 2.49, 4 Cl 2.59, 4 Mn 2.59
Ni  0.7500  0.2500  0.5000  2 Ni 2.49, 4 Cl 2.59, 4 Mn 2.59
Ni  0.7500  0.7500  0.5000  2 Ni 2.49, 4 Cl 2.59, 4 Mn 2.59
Cl  0.0000  0.5000  0.0000  2 Mn 2.49, 8 Ni 2.59
Cl  0.5000  0.0000  0.0000  2 Mn 2.49, 8 Ni 2.59

Properties
excess energy over the best structure of this formula in the dataset	1.110	eV per formula unit
formation energy without anion corrections	0.31	eV per atom



Record 10
This record from Alexandria via LeMat-Bulk describes Ba3Nb16O23 at its PBEsol-relaxed geometry. The functional is meta-GGA SCAN.

Cell lengths 12.1988, 12.1988, 4.1762 Å; angles 90.00, 90.00, 118.46 degrees
With the nearest neighbours (Å) after each atom.
Sites, in units of the cell vectors:
Ba  0.0000  0.0000  0.0000  12 O 2.89-2.99
Ba  0.2009  0.7991  0.0000  12 O 2.88-2.94
Ba  0.7991  0.2009  0.0000  12 O 2.88-2.94
Nb  0.0678  0.2695  0.5000  5 O 2.07-2.12
Nb  0.1365  0.5290  0.5000  5 O 2.09-2.19
Nb  0.2271  0.4309  0.0000  4 O 2.07-2.14
Nb  0.2695  0.0678  0.5000  5 O 2.07-2.12
Nb  0.3282  0.3282  0.5000  4 O 2.09-2.14
Nb  0.3987  0.6013  0.5000  4 O 2.09-2.12
Nb  0.4309  0.2271  0.0000  4 O 2.07-2.14
Nb  0.4710  0.8635  0.5000  5 O 2.09-2.19
Nb  0.5290  0.1365  0.5000  5 O 2.09-2.19
Nb  0.5691  0.7729  0.0000  4 O 2.07-2.14
Nb  0.6013  0.3987  0.5000  4 O 2.09-2.12
Nb  0.6718  0.6718  0.5000  4 O 2.09-2.14
Nb  0.7305  0.9322  0.5000  5 O 2.07-2.12
Nb  0.7729  0.5691  0.0000  4 O 2.07-2.14
Nb  0.8635  0.4710  0.5000  5 O 2.09-2.19
Nb  0.9322  0.7305  0.5000  5 O 2.07-2.12
O  0.0352  0.6363  0.5000  3 Nb 2.07-2.19
O  0.0617  0.2602  0.0000  3 Nb 2.09-2.10
O  0.1022  0.8978  0.5000  2 Nb 2.11
O  0.1392  0.5396  0.0000  3 Nb 2.07-2.09
O  0.1595  0.1595  0.5000  3 Nb 2.10-2.12
O  0.2602  0.0617  0.0000  3 Nb 2.09-2.10
O  0.2984  0.7016  0.5000  3 Nb 2.09-2.10
O  0.3343  0.3343  0.0000  4 Nb 2.09-2.14
O  0.3637  0.9648  0.5000  3 Nb 2.07-2.19
O  0.4029  0.5971  0.0000  4 Nb 2.09-2.14
O  0.4604  0.8608  0.0000  3 Nb 2.07-2.09
O  0.5000  0.5000  0.5000  4 Nb 2.12-2.14
O  0.5396  0.1392  0.0000  3 Nb 2.07-2.09
O  0.5971  0.4029  0.0000  4 Nb 2.09-2.14
O  0.6363  0.0352  0.5000  3 Nb 2.07-2.19
O  0.6657  0.6657  0.0000  4 Nb 2.09-2.14
O  0.7016  0.2984  0.5000  3 Nb 2.09-2.10
O  0.7398  0.9383  0.0000  3 Nb 2.09-2.10
O  0.8405  0.8405  0.5000  3 Nb 2.10-2.12
O  0.8608  0.4604  0.0000  3 Nb 2.07-2.09
O  0.8978  0.1022  0.5000  2 Nb 2.11
O  0.9383  0.7398  0.0000  3 Nb 2.09-2.10
O  0.9648  0.3637  0.5000  3 Nb 2.07-2.19

Properties
formation energy without anion corrections	-2.54	eV per atom



Which N(E_F) belongs to each record? In order, 3.019; 2.127; 1.663; 3.514; 3.988; 3.474; 4.984; 2.631; 1.585; 7.250 states/eV/f.u..